DFT (PBE-GGA) results for a relaxed structure of MnAg5S4.

Its crystal system is monoclinic. The value obtained for the total energy is -4.0545 eV per atom. For the raw formation energy, the calculation gives -0.0609 eV per atom.

It has space group C2/m (No. 12), with a = 15.810 Å, b = 3.781 Å, c = 6.477 Å, α = 90.00°, β = 107.05° and γ = 90.00°. Symmetry generates all atoms from Mn at (0.000, 0.000, 0.000), Ag at (0.000, 0.000, 0.500), Ag at (0.176, 0.500, 0.624), Ag at (0.203, 0.500, 0.095), S at (0.049, 0.500, 0.802) and S at (0.146, 0.000, 0.303).